[1]
Compound: KOsPb3
Source: Alexandria
Functional: PBE
Structure: relaxed

Unit cell a=5.4329 b=5.4329 c=5.4329 alpha=90.00 beta=90.00 gamma=90.00
Space group Pm-3m (No. 221)
Inequivalent atoms, fractional coordinates:
K (0.0000, 0.0000, 0.0000) x1
Os (0.5000, 0.5000, 0.5000) x1
Pb (0.0000, 0.5000, 0.5000) x3

Results
Its total magnetization is 1.843 μB per cell. For the calculated total energy, the calculation gives -4.250 eV per atom. The value obtained for the energy relative to the elements is 440 meV/atom. The density is 8.81 g cm⁻³.

[2]
Compound: KOsPb3
Source: Alexandria
Functional: PBE
Structure: relaxed

Unit cell a=5.7738 b=5.7738 c=5.7738 alpha=90.00 beta=90.00 gamma=90.00
Space group Pm-3m (No. 221)
Inequivalent atoms, fractional coordinates:
K (0.0000, 0.0000, 0.0000) x1
Os (0.5000, 0.5000, 0.5000) x1
Pb (0.0000, 0.0000, 0.5000) x3

Results
Its total magnetization is 3.028 μB per cell. For the calculated total energy, the calculation gives -2.543 eV per atom. The value obtained for the energy relative to the elements is 2147 meV/atom. The density is 7.34 g cm⁻³.

[3]
Compound: KOs2Pb
Source: Alexandria
Functional: PBE
Structure: relaxed

Unit cell a=2.9129 b=3.6985 c=8.7129 alpha=90.00 beta=90.00 gamma=90.00
Space group Pmm2 (No. 25)
Inequivalent atoms, fractional coordinates:
K (0.0000, 0.0000, 0.0000) x1
Os (0.0000, 0.0000, 0.4192) x1
Os (0.5000, 0.5000, 0.3002) x1
Pb (0.5000, 0.5000, 0.6515) x1

Results
Its total magnetization is 0.000 μB per cell. For the calculated total energy, the calculation gives -6.226 eV per atom. The value obtained for the energy relative to the elements is 590 meV/atom. The density is 11.09 g cm⁻³.

[4]
Compound: K2OsPb
Source: Alexandria
Functional: PBE
Structure: relaxed

Unit cell a=20.4961 b=3.2484 c=4.4512 alpha=90.00 beta=102.43 gamma=90.00
Space group C2/m (No. 12)
Inequivalent atoms, fractional coordinates:
K (0.1498, 0.0000, 0.1481) x4
Os (0.0000, 0.5000, 0.0000) x2
Pb (0.0000, 0.0000, 0.5000) x2

Results
Its total magnetization is 0.926 μB per cell. For the calculated total energy, the calculation gives -3.644 eV per atom. The value obtained for the energy relative to the elements is 640 meV/atom. The density is 5.46 g cm⁻³.

[5]
Compound: KOs2Pb
Source: Alexandria
Functional: PBE
Structure: relaxed

Unit cell a=2.7887 b=5.3755 c=5.9655 alpha=90.00 beta=94.41 gamma=90.00
Space group P2/m (No. 10)
Inequivalent atoms, fractional coordinates:
K (0.0000, 0.0000, 0.0000) x1
Os (0.4527, 0.5000, 0.8054) x2
Pb (0.5000, 0.0000, 0.5000) x1

Results
Its total magnetization is 0.000 μB per cell. For the calculated total energy, the calculation gives -5.509 eV per atom. The value obtained for the energy relative to the elements is 1307 meV/atom. The density is 11.67 g cm⁻³.

[6]
Compound: KOs2Pb
Source: Alexandria
Functional: PBE
Structure: relaxed

Unit cell a=3.0440 b=5.1605 c=10.3215 alpha=90.00 beta=90.00 gamma=90.00
Space group Immm (No. 71)
Inequivalent atoms, fractional coordinates:
K (0.0000, 0.0000, 0.0000) x2
Os (0.0000, 0.5000, 0.2201) x4
Pb (0.0000, 0.0000, 0.5000) x2

Results
Its total magnetization is 0.000 μB per cell. For the calculated total energy, the calculation gives -5.325 eV per atom. The value obtained for the energy relative to the elements is 1491 meV/atom. The density is 12.84 g cm⁻³.

[7]
Compound: K3OsPb
Source: Alexandria
Functional: PBE
Structure: relaxed

Unit cell a=6.1650 b=6.1650 c=6.1650 alpha=90.00 beta=90.00 gamma=90.00
Space group Pm-3m (No. 221)
Inequivalent atoms, fractional coordinates:
K (0.0000, 0.0000, 0.5000) x3
Os (0.0000, 0.0000, 0.0000) x1
Pb (0.5000, 0.5000, 0.5000) x1

Results
Its total magnetization is 3.257 μB per cell. For the calculated total energy, the calculation gives -2.383 eV per atom. The value obtained for the energy relative to the elements is 1263 meV/atom. The density is 3.65 g cm⁻³.

[8]
Compound: KOsPb4
Source: Alexandria
Functional: PBE
Structure: relaxed

Unit cell a=8.9965 b=8.9965 c=8.9965 alpha=90.00 beta=90.00 gamma=90.00
Space group F-43m (No. 216)
Inequivalent atoms, fractional coordinates:
K (0.0000, 0.0000, 0.0000) x4
Os (0.2500, 0.2500, 0.7500) x4
Pb (0.1238, 0.1238, 0.3762) x16

Results
Its total magnetization is 5.184 μB per cell. For the calculated total energy, the calculation gives -3.616 eV per atom. The value obtained for the energy relative to the elements is 910 meV/atom. The density is 9.65 g cm⁻³.

[9]
Compound: K2OsPb
Source: Alexandria
Functional: PBE
Structure: relaxed

Unit cell a=2.9433 b=5.6815 c=6.2027 alpha=90.00 beta=90.58 gamma=90.00
Space group P2/m (No. 10)
Inequivalent atoms, fractional coordinates:
K (0.0019, 0.0000, 0.2638) x2
Os (0.5000, 0.5000, 0.5000) x1
Pb (0.5000, 0.5000, 0.0000) x1

Results
Its total magnetization is 0.000 μB per cell. For the calculated total energy, the calculation gives -3.296 eV per atom. The value obtained for the energy relative to the elements is 988 meV/atom. The density is 7.61 g cm⁻³.

[10]
Compound: KOsPb
Source: Alexandria
Functional: PBE
Structure: relaxed

Unit cell a=3.2998 b=3.2998 c=7.8597 alpha=90.00 beta=90.00 gamma=120.00
Space group P3m1 (No. 156)
Inequivalent atoms, fractional coordinates:
K (0.0000, 0.0000, 0.0000) x1
Os (0.6667, 0.3333, 0.3382) x1
Pb (0.3333, 0.6667, 0.5948) x1

Results
Its total magnetization is 0.000 μB per cell. For the calculated total energy, the calculation gives -4.321 eV per atom. The value obtained for the energy relative to the elements is 1025 meV/atom. The density is 9.78 g cm⁻³.

[11]
Compound: K2OsPb
Source: Alexandria
Functional: PBE
Structure: relaxed

Unit cell a=5.9566 b=11.4907 c=3.0165 alpha=90.00 beta=90.00 gamma=90.00
Space group Cmmm (No. 65)
Inequivalent atoms, fractional coordinates:
K (0.2500, 0.2500, 0.0000) x4
Os (0.0000, 0.0000, 0.5000) x2
Pb (0.0000, 0.5000, 0.5000) x2

Results
Its total magnetization is 1.143 μB per cell. For the calculated total energy, the calculation gives -3.283 eV per atom. The value obtained for the energy relative to the elements is 1000 meV/atom. The density is 7.65 g cm⁻³.

[12]
Compound: KOs2Pb
Source: Alexandria
Functional: PBE
Structure: relaxed

Unit cell a=8.0609 b=4.6524 c=6.8962 alpha=90.00 beta=113.47 gamma=90.00
Space group C2/m (No. 12)
Inequivalent atoms, fractional coordinates:
K (0.0000, 0.0000, 0.0000) x2
Os (0.1698, 0.0000, 0.5090) x4
Pb (0.0000, 0.5000, 0.5000) x2

Results
Its total magnetization is 0.000 μB per cell. For the calculated total energy, the calculation gives -5.925 eV per atom. The value obtained for the energy relative to the elements is 892 meV/atom. The density is 8.77 g cm⁻³.